A plane-wave DFT calculation with PBE was carried out for Y3Pt2 after structural relaxation.

Values from the calculation:
The excess energy over the best structure of this formula in the dataset is 0.00 eV per formula unit. The formation energy comes out at -1044 meV/atom. The energy comes out at -7.35 eV/atom.

```
Y3Pt2
1.0
7.728 0.000 0.000
0.000 7.728 0.000
0.000 0.000 3.993
Y Pt
6 4
direct
0.000 0.000 0.000 Y
0.161 0.339 0.500 Y
0.339 0.839 0.500 Y
0.500 0.500 0.000 Y
0.661 0.161 0.500 Y
0.839 0.661 0.500 Y
0.138 0.638 0.000 Pt
0.362 0.138 0.000 Pt
0.638 0.862 0.000 Pt
0.862 0.362 0.000 Pt
```